[1]
Computed, not measured: a geometry-optimized NiHgSe2 structure at the PBEsol level of DFT.

## Properties
E_form (uncorrected), meV per atom: -214

extended XYZ file:
```
4
Lattice="-1.088 -1.494 3.042 -2.995 -1.921 0.068 2.285 -6.877 -0.478" Properties=species:S:1:pos:R:3 pbc="T T T"
Se -0.718 -2.151 0.769
Se -1.080 -8.141 1.862
Ni 0.000 0.000 0.000
Hg -0.899 -5.146 1.315
```

[2]
Computed, not measured: a geometry-optimized MnSeNF2 structure at the PBEsol level of DFT.

## Properties
E_form (uncorrected), meV per atom: -457

extended XYZ file:
```
5
Lattice="-3.563 0.949 -0.815 -1.212 -2.012 2.958 0.342 3.373 2.434" Properties=species:S:1:pos:R:3 pbc="T T T"
F -1.782 0.475 -0.407
F -0.606 -1.006 1.479
N 0.171 1.687 1.217
Se -2.217 1.155 2.289
Mn 0.000 0.000 0.000
```

[3]
Computed, not measured: a geometry-optimized YCuGe structure at the PBEsol level of DFT.

## Properties
Total DFT energy (no corrections), eV/f.u.: -18.194

extended XYZ file:
```
3
Lattice="3.725 0.000 0.000 0.000 4.144 0.000 0.000 -2.072 3.589" Properties=species:S:1:pos:R:3 pbc="T T T"
Cu 1.862 2.072 1.196
Ge 1.862 0.000 2.393
Y 0.000 0.000 0.000
```

[4]
Computed, not measured: a geometry-optimized Sb2AsIr structure at the PBEsol level of DFT.

## Properties
Polymorph energy (0 for the lowest one), kJ per mole of atoms: 32.3
E_form (uncorrected), meV per atom: 382

extended XYZ file:
```
4
Lattice="-1.380 -1.436 2.454 -1.708 -3.554 -3.041 4.141 -2.654 0.775" Properties=species:S:1:pos:R:3 pbc="T T T"
As 0.526 -3.822 0.094
Sb 2.070 -1.327 0.388
Sb -0.854 -1.777 -1.520
Ir -0.690 -0.718 1.227
```